Here is a relaxed Fe4O7F crystal from Alexandria via LeMat-Bulk. Energies are from PBE+U.

Cell and atoms, written as POSCAR:
```
Fe4O7F
1.0
9.185 -3.003 0.000
9.185 3.003 0.000
-0.146 0.000 4.586
Fe O F
8 14 2
Direct
0.000 0.000 0.000
0.128 0.637 0.480
0.248 0.248 0.009
0.387 0.869 0.479
0.504 0.504 0.986
0.637 0.128 0.480
0.755 0.755 0.981
0.869 0.387 0.479
0.056 0.548 0.179
0.172 0.172 0.308
0.206 0.705 0.797
0.299 0.801 0.179
0.428 0.428 0.291
0.451 0.958 0.795
0.548 0.056 0.179
0.579 0.579 0.685
0.677 0.677 0.290
0.705 0.206 0.797
0.801 0.299 0.179
0.833 0.833 0.669
0.930 0.930 0.283
0.958 0.451 0.795
0.076 0.076 0.694
0.330 0.330 0.681
```

Output
- Crystal system: monoclinic
- VASP energy: -6.07 eV per atom
- Excess energy over the best structure of this formula in the dataset: 64.7 meV per atom